Material: KHoCoSi2O7
Method: DFT, GGA+U
State: optimized geometry

```
KHoCoSi2O7
1.0
-5.717 0.175 -3.042
2.208 -5.934 -1.369
-4.682 -4.493 5.774
K Ho Si O Co
2 2 4 14 2
Cartesian
-5.275 -7.648 1.116
-1.871 -3.410 0.468
-4.798 -4.949 3.764
-3.623 -5.126 -2.449
-0.327 -5.994 -1.368
-2.976 -8.026 3.763
-5.160 -2.569 -0.323
-6.995 -4.628 0.850
1.133 -5.106 -1.596
-2.216 -8.537 2.400
-1.591 -5.076 -1.718
-4.504 -1.783 0.923
-8.387 -4.530 1.778
-6.693 -3.124 0.133
-7.269 -5.708 -0.316
-5.320 -1.470 -1.579
-4.209 -7.020 3.586
-2.165 -1.199 -1.140
-0.030 -6.299 0.218
-5.755 -4.983 1.855
-7.834 -7.660 2.121
-4.294 -3.837 -0.884
-1.545 -7.093 1.220
-3.537 -1.505 -2.581
```

Results
- Calculated density: 4.155 g/cm3
- Raw total energy: -7.240 eV/atom